A relaxed structure of Ba8Pd2Pt3, computed with PBE.

abc: 8.7907 8.7907 7.8266
angles: 90.06 90.06 63.48
Fractional coordinates of all 13 atoms:
1 Ba 0.1148 0.1148 0.3358
2 Ba 0.1336 0.6151 0.1651
3 Ba 0.3835 0.3835 0.6716
4 Ba 0.3849 0.8664 0.8349
5 Ba 0.6151 0.1336 0.1651
6 Ba 0.6165 0.6165 0.3284
7 Ba 0.8664 0.3849 0.8349
8 Ba 0.8852 0.8852 0.6642
9 Pd 0.2434 0.2434 0.0044
10 Pd 0.7566 0.7566 0.9956
11 Pt 0.2485 0.7515 0.5000
12 Pt 0.5000 0.5000 0.0000
13 Pt 0.7515 0.2485 0.5000

Computed properties:
Calculated total energy ... -3.947 eV/atom
Energy relative to the elements ... -0.57 eV/atom
Crystal system ... monoclinic
Total magnetization ... 0.0 μB/cell

=====

A relaxed structure of LiAcBi3, computed with PBE.

abc: 14.5247 6.4969 6.7116
angles: 90.00 90.00 90.00
Fractional coordinates of all 20 atoms:
1 Li 0.1058 0.2500 0.0000
2 Li 0.1058 0.2500 0.5000
3 Li 0.8942 0.7500 0.0000
4 Li 0.8942 0.7500 0.5000
5 Ac 0.3106 0.5112 0.2500
6 Ac 0.3106 0.9888 0.7500
7 Ac 0.6894 0.0112 0.2500
8 Ac 0.6894 0.4888 0.7500
9 Bi 0.0712 0.7067 0.2500
10 Bi 0.0712 0.7933 0.7500
11 Bi 0.2398 0.0070 0.2500
12 Bi 0.2398 0.4930 0.7500
13 Bi 0.4960 0.2500 0.0000
14 Bi 0.4960 0.2500 0.5000
15 Bi 0.5040 0.7500 0.0000
16 Bi 0.5040 0.7500 0.5000
17 Bi 0.7602 0.5070 0.2500
18 Bi 0.7602 0.9930 0.7500
19 Bi 0.9288 0.2067 0.2500
20 Bi 0.9288 0.2933 0.7500

Computed properties:
Calculated total energy ... -4.079 eV/atom
Energy relative to the elements ... -0.55 eV/atom
Crystal system ... orthorhombic
Total magnetization ... 0.0 μB/cell
Energy relative to the lowest polymorph listed for this composition ... 0.0 kJ per mole of atoms

=====

A relaxed structure of La4Te2C, computed with PBE.

abc: 8.4585 8.4585 7.3652
angles: 115.16 115.16 28.13
Fractional coordinates of all 7 atoms:
1 La 0.0991 0.0991 0.2433
2 La 0.3948 0.3948 0.1833
3 La 0.6052 0.6052 0.8167
4 La 0.9009 0.9009 0.7567
5 Te 0.2387 0.2387 0.7302
6 Te 0.7613 0.7613 0.2698
7 C 0.5000 0.5000 0.0000

Computed properties:
Calculated total energy ... -5.869 eV/atom
Crystal system ... monoclinic
Total magnetization ... 1.5 μB/cell
Raw formation energy ... -838 meV/atom

=====

A relaxed structure of In2AsAu, computed with PBE.

abc: 6.9453 6.9453 6.9453
angles: 121.04 121.04 88.20
Fractional coordinates of all 8 atoms:
1 In 0.1171 0.6250 0.9921
2 In 0.3750 0.3671 0.4921
3 In 0.6329 0.1250 0.0079
4 In 0.8750 0.8829 0.5079
5 As 0.0000 0.0000 0.0000
6 As 0.7500 0.2500 0.5000
7 Au 0.2500 0.7500 0.5000
8 Au 0.5000 0.5000 0.0000

Computed properties:
Calculated total energy ... -3.357 eV/atom
Energy relative to the elements ... -0.01 eV/atom
Crystal system ... tetragonal
Total magnetization ... 0.0 μB/cell
Energy relative to the lowest polymorph listed for this composition ... 9.6 kJ per mole of atoms

=====

A relaxed structure of NaTmTl2, computed with PBE.

abc: 10.5362 10.5362 10.5362
angles: 19.61 19.61 19.61
Fractional coordinates of all 4 atoms:
1 Na 0.0000 0.0000 0.0000
2 Tm 0.5000 0.5000 0.5000
3 Tl 0.2488 0.2488 0.2488
4 Tl 0.7512 0.7512 0.7512

Computed properties:
Calculated total energy ... -2.724 eV/atom
Energy relative to the elements ... -0.09 eV/atom
Crystal system ... trigonal
Total magnetization ... 0.0 μB/cell
Energy relative to the lowest polymorph listed for this composition ... 12.7 kJ per mole of atoms

=====

A relaxed structure of K3AsS, computed with PBE.

abc: 6.0143 6.0143 6.0143
angles: 90.00 90.00 90.00
Fractional coordinates of all 5 atoms:
1 K 0.0000 0.0000 0.5000
2 K 0.0000 0.5000 0.0000
3 K 0.5000 0.0000 0.0000
4 As 0.5000 0.5000 0.5000
5 S 0.0000 0.0000 0.0000

Computed properties:
Calculated total energy ... -2.790 eV/atom
Crystal system ... cubic
Total magnetization ... 2.0 μB/cell
Raw formation energy ... -376 meV/atom
Energy relative to the lowest polymorph listed for this composition ... 28.9 kJ per mole of atoms

=====

A relaxed structure of BaBe4Sb3O12, computed with PBE.

abc: 6.5221 6.5221 6.5221
angles: 104.13 104.13 104.13
Fractional coordinates of all 20 atoms:
1 Ba 0.0000 0.0000 0.0000
2 Be 0.0627 0.5000 0.9373
3 Be 0.5000 0.5000 0.5000
4 Be 0.5000 0.9373 0.0627
5 Be 0.9373 0.0627 0.5000
6 Sb 0.0000 0.5533 0.4467
7 Sb 0.4467 0.0000 0.5533
8 Sb 0.5533 0.4467 0.0000
9 O 0.0175 0.6158 0.7619
10 O 0.0943 0.9057 0.5000
11 O 0.2381 0.3842 0.9825
12 O 0.3461 0.6539 0.5000
13 O 0.3842 0.9825 0.2381
14 O 0.5000 0.0943 0.9057
15 O 0.5000 0.3461 0.6539
16 O 0.6158 0.7619 0.0175
17 O 0.6539 0.5000 0.3461
18 O 0.7619 0.0175 0.6158
19 O 0.9057 0.5000 0.0943
20 O 0.9825 0.2381 0.3842

Computed properties:
Calculated total energy ... -6.425 eV/atom
Crystal system ... trigonal
Total magnetization ... 0.0 μB/cell
Raw formation energy ... -1991 meV/atom

=====

A relaxed structure of Th3TcPb, computed with PBE.

abc: 6.6951 6.6951 9.5046
angles: 110.38 110.38 48.70
Fractional coordinates of all 10 atoms:
1 Th 0.1303 0.1303 0.1519
2 Th 0.1297 0.1297 0.7553
3 Th 0.3663 0.3663 0.5619
4 Th 0.6337 0.6337 0.4381
5 Th 0.8703 0.8703 0.2447
6 Th 0.8697 0.8697 0.8481
7 Tc 0.1037 0.1037 0.4381
8 Tc 0.8963 0.8963 0.5619
9 Pb 0.3983 0.3983 0.0708
10 Pb 0.6017 0.6017 0.9292

Computed properties:
Calculated total energy ... -7.403 eV/atom
Energy relative to the elements ... -0.14 eV/atom
Crystal system ... monoclinic
Total magnetization ... 0.0 μB/cell
Energy relative to the lowest polymorph listed for this composition ... 6.6 kJ per mole of atoms

=====

A relaxed structure of H12Pd5Rh2, computed with PBE.

abc: 5.8487 5.8487 5.8668
angles: 105.96 105.96 53.79
Fractional coordinates of all 19 atoms:
1 H 0.0030 0.0030 0.2988
2 H 0.0481 0.5936 0.4031
3 H 0.0979 0.5991 0.9306
4 H 0.4009 0.9021 0.0694
5 H 0.4064 0.9519 0.5969
6 H 0.4707 0.4707 0.6816
7 H 0.5293 0.5293 0.3184
8 H 0.5936 0.0481 0.4031
9 H 0.5991 0.0979 0.9306
10 H 0.9021 0.4009 0.0694
11 H 0.9519 0.4064 0.5969
12 H 0.9970 0.9970 0.7012
13 Pd 0.2016 0.2016 0.3314
14 Pd 0.2149 0.2149 0.8585
15 Pd 0.5000 0.5000 0.0000
16 Pd 0.7851 0.7851 0.1415
17 Pd 0.7984 0.7984 0.6686
18 Rh 0.2532 0.7468 0.5000
19 Rh 0.7468 0.2532 0.5000

Computed properties:
Calculated total energy ... -4.224 eV/atom
Crystal system ... monoclinic
Total magnetization ... 0.0 μB/cell

=====

A relaxed structure of TlHg2Cl4, computed with PBE.

abc: 6.6772 8.3654 9.2504
angles: 109.24 100.69 97.67
Fractional coordinates of all 14 atoms:
1 Tl 0.0000 0.0000 0.0000
2 Tl 0.3509 0.0091 0.6780
3 Hg 0.0631 0.3511 0.6706
4 Hg 0.4361 0.5295 0.7117
5 Hg 0.5843 0.4375 0.2716
6 Hg 0.5845 0.9224 0.2709
7 Cl 0.3397 0.0976 0.3407
8 Cl 0.3409 0.3061 0.9903
9 Cl 0.3899 0.6438 0.4077
10 Cl 0.4384 0.8618 0.9341
11 Cl 0.8142 0.6056 0.7316
12 Cl 0.8164 0.0931 0.6611
13 Cl 0.8330 0.7466 0.2277
14 Cl 0.8617 0.2809 0.3015

Computed properties:
Calculated total energy ... -2.158 eV/atom
Crystal system ... triclinic
Total magnetization ... 0.0 μB/cell
Raw formation energy ... -679 meV/atom
Energy relative to the lowest polymorph listed for this composition ... 0.0 kJ per mole of atoms

=====

A relaxed structure of CaScAu, computed with PBE.

abc: 4.8687 4.8687 4.8687
angles: 60.00 60.00 60.00
Fractional coordinates of all 3 atoms:
1 Ca 0.0000 0.0000 0.0000
2 Sc 0.5000 0.5000 0.5000
3 Au 0.7500 0.7500 0.7500

Computed properties:
Calculated total energy ... -4.226 eV/atom
Energy relative to the elements ... -0.36 eV/atom
Crystal system ... cubic
Total magnetization ... 0.0 μB/cell
Energy relative to the lowest polymorph listed for this composition ... 12.8 kJ per mole of atoms

=====

A relaxed structure of Na2CeScCl8, computed with PBE.

abc: 6.3943 8.1790 6.5855
angles: 90.00 93.45 90.00
Fractional coordinates of all 12 atoms:
1 Na 0.0000 0.2384 0.0000
2 Na 0.0000 0.7616 0.0000
3 Ce 0.5000 0.5000 0.5000
4 Sc 0.5000 0.0000 0.5000
5 Cl 0.2216 0.5000 0.1756
6 Cl 0.2454 0.0000 0.2039
7 Cl 0.2942 0.2279 0.6612
8 Cl 0.2942 0.7721 0.6612
9 Cl 0.7058 0.2279 0.3388
10 Cl 0.7058 0.7721 0.3388
11 Cl 0.7546 0.0000 0.7961
12 Cl 0.7784 0.5000 0.8244

Computed properties:
Calculated total energy ... -4.496 eV/atom
Crystal system ... monoclinic
Total magnetization ... 1.0 μB/cell
Raw formation energy ... -2023 meV/atom

=====

A relaxed structure of Sm4In12Au, computed with PBE.

abc: 8.2551 8.2551 8.2551
angles: 109.47 109.47 109.47
Fractional coordinates of all 17 atoms:
1 Sm 0.0000 0.0000 0.5000
2 Sm 0.0000 0.5000 0.0000
3 Sm 0.5000 0.0000 0.0000
4 Sm 0.5000 0.5000 0.5000
5 In 0.0000 0.2897 0.2897
6 In 0.0000 0.7103 0.7103
7 In 0.2500 0.5000 0.7500
8 In 0.2500 0.7500 0.5000
9 In 0.2897 0.0000 0.2897
10 In 0.2897 0.2897 0.0000
11 In 0.5000 0.2500 0.7500
12 In 0.5000 0.7500 0.2500
13 In 0.7103 0.0000 0.7103
14 In 0.7103 0.7103 0.0000
15 In 0.7500 0.2500 0.5000
16 In 0.7500 0.5000 0.2500
17 Au 0.0000 0.0000 0.0000

Computed properties:
Calculated total energy ... -3.644 eV/atom
Energy relative to the elements ... -0.41 eV/atom
Crystal system ... cubic
Total magnetization ... 0.0 μB/cell

=====

A relaxed structure of BaMn2Au, computed with PBE.

abc: 6.3452 6.3452 3.3613
angles: 105.14 105.14 121.31
Fractional coordinates of all 4 atoms:
1 Ba 0.0000 0.0000 0.0000
2 Mn 0.0000 0.5000 0.5000
3 Mn 0.5000 0.0000 0.5000
4 Au 0.5000 0.5000 0.0000

Computed properties:
Calculated total energy ... -5.250 eV/atom
Energy relative to the elements ... 0.63 eV/atom
Crystal system ... monoclinic
Total magnetization ... 8.1 μB/cell

=====

A relaxed structure of Tb3SmTh2Sb6, computed with PBE.

abc: 9.9426 9.9426 8.8832
angles: 102.76 102.76 25.91
Fractional coordinates of all 12 atoms:
1 Tb 0.0000 0.0000 0.0000
2 Tb 0.3338 0.3338 0.6662
3 Tb 0.6662 0.6662 0.3338
4 Sm 0.0000 0.0000 0.5000
5 Th 0.3348 0.3348 0.1691
6 Th 0.6652 0.6652 0.8309
7 Sb 0.1655 0.1655 0.0872
8 Sb 0.1677 0.1677 0.5786
9 Sb 0.4982 0.4982 0.7524
10 Sb 0.5018 0.5018 0.2476
11 Sb 0.8323 0.8323 0.4214
12 Sb 0.8345 0.8345 0.9128

Computed properties:
Calculated total energy ... -5.932 eV/atom
Crystal system ... monoclinic
Total magnetization ... 0.0 μB/cell
Raw formation energy ... -1083 meV/atom

=====

A relaxed structure of MnZnHPd2, computed with PBE.

abc: 4.8903 4.8903 3.0076
angles: 90.00 90.00 90.00
Fractional coordinates of all 5 atoms:
1 Mn 0.0000 0.0000 0.0000
2 Zn 0.5000 0.5000 0.5000
3 H 0.0000 0.0000 0.5000
4 Pd 0.0000 0.5000 0.0000
5 Pd 0.5000 0.0000 0.0000

Computed properties:
Calculated total energy ... -4.598 eV/atom
Crystal system ... tetragonal
Total magnetization ... 3.9 μB/cell
Energy relative to the lowest polymorph listed for this composition ... 46.6 kJ per mole of atoms

=====

A relaxed structure of SrBiNF2, computed with PBE.

abc: 4.4395 4.4395 5.3618
angles: 90.00 90.00 90.00
Fractional coordinates of all 5 atoms:
1 Sr 0.0000 0.0000 0.0000
2 Bi 0.5000 0.5000 0.5000
3 N 0.0000 0.0000 0.5000
4 F 0.0000 0.5000 0.0000
5 F 0.5000 0.0000 0.0000

Computed properties:
Calculated total energy ... -4.579 eV/atom
Crystal system ... tetragonal
Total magnetization ... 0.0 μB/cell
Raw formation energy ... -1053 meV/atom
Energy relative to the lowest polymorph listed for this composition ... 25.1 kJ per mole of atoms

=====

A relaxed structure of EuLuRuRh, computed with PBE.

abc: 4.8218 4.8218 4.8218
angles: 60.00 60.00 60.00
Fractional coordinates of all 4 atoms:
1 Eu 0.0000 0.0000 0.0000
2 Lu 0.5000 0.5000 0.5000
3 Ru 0.2500 0.2500 0.2500
4 Rh 0.7500 0.7500 0.7500

Computed properties:
Calculated total energy ... -8.178 eV/atom
Energy relative to the elements ... -0.32 eV/atom
Crystal system ... cubic
Total magnetization ... 6.4 μB/cell

=====

A relaxed structure of CsRbSn6, computed with PBE.

abc: 6.0386 6.0386 10.9908
angles: 90.00 90.00 120.00
Fractional coordinates of all 8 atoms:
1 Cs 0.0000 0.0000 0.0000
2 Rb 0.0000 0.0000 0.5000
3 Sn 0.0000 0.5000 0.2665
4 Sn 0.0000 0.5000 0.7335
5 Sn 0.5000 0.0000 0.2665
6 Sn 0.5000 0.0000 0.7335
7 Sn 0.5000 0.5000 0.2665
8 Sn 0.5000 0.5000 0.7335

Computed properties:
Calculated total energy ... -3.140 eV/atom
Energy relative to the elements ... 0.09 eV/atom
Crystal system ... hexagonal
Total magnetization ... 0.0 μB/cell

=====

A relaxed structure of Na2LiCd, computed with PBE.

abc: 3.4914 3.4914 11.0665
angles: 99.81 99.81 55.93
Fractional coordinates of all 4 atoms:
1 Na 0.0000 0.0000 0.0000
2 Na 0.1929 0.1929 0.5057
3 Li 0.4009 0.4009 0.2529
4 Cd 0.5950 0.5950 0.7526

Computed properties:
Calculated total energy ... -1.345 eV/atom
Energy relative to the elements ... 0.02 eV/atom
Crystal system ... monoclinic
Total magnetization ... 0.0 μB/cell